Here is an optimized crystal structure of Ag2As3Se6 from Alexandria. Energies are from PBE-GGA.

a b c (Å): 6.6484 11.5149 7.0202
angles (deg): 90.00 109.22 90.00
Space group C2/m (No. 12)
Symmetry-distinct sites (fractional):
1 Ag 0.0000 0.1649 0.0000 [4 per cell]
2 As 0.0000 0.0000 0.5000 [2 per cell]
3 As 0.0000 0.3292 0.5000 [4 per cell]
4 Se 0.2463 0.1687 0.7350 [8 per cell]
5 Se 0.2476 0.0000 0.2613 [4 per cell]

Summary:
Volume, Å³ per cell: 507.5
Total energy, eV per cell: -83.0
D(E_F), states/eV/atom: 0.385